# FeHg2

A geometry-optimized FeHg2 structure (PBE-GGA, Alexandria via LeMat-Bulk).

Cell: 14.1753 2.9484 6.2675 Å, 90.00 115.85 90.00°
With the nearest neighbours (Å) after each atom.
Space group C2/m (No. 12)
Inequivalent atoms, fractional coordinates:
Fe  0.0001  0.0000  0.1902  1 Fe 2.38
Hg  0.1228  0.5000  0.6209  4 Fe 2.90, 7 Hg 2.95-3.18
Hg  0.1663  0.5000  0.1640  4 Fe 2.84-2.85, 6 Hg 2.95-3.18

Calculated values
As for the crystal system: monoclinic. The value obtained for the total moment is 10.59 μB/cell. As for the density of states at the Fermi level: 7.75 states/eV per cell. The value obtained for the final energy is -2.65 eV per atom.